(1)
A plane-wave DFT calculation with PBE was carried out for a relaxed LaCrOs3 crystal.

Cell: 4.5727 4.5727 4.5727 Å, 90.00 90.00 90.00°
Space group Pm-3m (No. 221)
Symmetry-distinct sites (fractional):
La  0.0000  0.0000  0.0000
Cr  0.5000  0.5000  0.5000
Os  0.0000  0.5000  0.5000

magnetization = 0.00 μB per formula unit
energy relative to the lowest polymorph listed for this composition = 0.0 meV/atom
energy = -8.871 eV per atom
crystal system = cubic
calculated formation energy = 375 kJ/mol of formula units

(2)
A plane-wave DFT calculation with PBE was carried out for a relaxed PmY6Ho2 crystal.

Cell: 10.7077 10.7077 5.0494 Å, 90.00 90.00 90.00°
Space group P4_2/mnm (No. 136)
Symmetry-distinct sites (fractional):
Pm  0.0000  0.0000  0.0000
Y  0.0002  0.3330  0.0000
Y  0.1668  0.1668  0.5000
Ho  0.1669  0.8331  0.5000

magnetization = 0.00 μB per formula unit
energy relative to the lowest polymorph listed for this composition = 0.0 meV/atom
energy = -5.832 eV per atom
crystal system = tetragonal
calculated formation energy = 19 kJ/mol of formula units

- What is the formula in the first record?
  LaCrOs3

Copy entry 2 word for word.
A plane-wave DFT calculation with PBE was carried out for a relaxed PmY6Ho2 crystal.

Cell: 10.7077 10.7077 5.0494 Å, 90.00 90.00 90.00°
Space group P4_2/mnm (No. 136)
Symmetry-distinct sites (fractional):
Pm  0.0000  0.0000  0.0000
Y  0.0002  0.3330  0.0000
Y  0.1668  0.1668  0.5000
Ho  0.1669  0.8331  0.5000

magnetization = 0.00 μB per formula unit
energy relative to the lowest polymorph listed for this composition = 0.0 meV/atom
energy = -5.832 eV per atom
crystal system = tetragonal
calculated formation energy = 19 kJ/mol of formula units